# 1
{"formula": "BeGa2RuC", "functional": "PBE", "state": "relaxed", "total_magnetization_mub_per_cell": 0.0, "formation_enthalpy_0k_ev_per_atom": 0.94, "n_ef_per_ev_fu": 0.78, "lattice": [[4.864, 0.000, 0.000], [0.000, 4.864, 0.000], [0.000, 0.000, 3.860]], "species": ["Be", "Ga", "Ga", "Ru", "C"], "fractional_positions": [[0.000, 0.000, 0.000], [0.000, 0.500, 0.500], [0.500, 0.000, 0.500], [0.500, 0.500, 0.500], [0.500, 0.500, 0.000]]}


# 2
{"formula": "BeGa2SiC", "functional": "PBE", "state": "relaxed", "total_magnetization_mub_per_cell": 0.0, "formation_energy_uncorrected_mev_per_atom": 502, "n_ef_per_ev_fu": 1.85, "lattice": [[4.538, 0.000, 0.000], [0.000, 4.538, 0.000], [0.000, 0.000, 3.314]], "species": ["Be", "Ga", "Ga", "Si", "C"], "fractional_positions": [[0.000, 0.000, 0.000], [0.000, 0.500, 0.500], [0.500, 0.000, 0.500], [0.500, 0.500, 0.000], [0.000, 0.000, 0.500]]}


# 3
{"formula": "TaBeGa2C", "functional": "PBE", "state": "relaxed", "total_magnetization_mub_per_cell": 0.0, "formation_enthalpy_0k_ev_per_atom": 2.26, "n_ef_per_ev_fu": 2.97, "lattice": [[5.057, 0.000, 0.000], [0.000, 5.057, 0.000], [0.000, 0.000, 4.594]], "species": ["Ta", "Be", "Ga", "Ga", "C"], "fractional_positions": [[0.000, 0.000, 0.000], [0.000, 0.000, 0.500], [0.000, 0.500, 0.000], [0.500, 0.000, 0.000], [0.500, 0.500, 0.500]]}


Number 1: raw total energy -23.57 eV per formula unit. Number 2: raw total energy -21.92 eV per formula unit. Number 3: raw total energy -19.55 eV per formula unit.